This record from the Alexandria database describes a relaxed FeSO2F crystal. The functional is PBE+U.

Cell and atoms, written as POSCAR:
```
FeSO2F
1.0
3.584 0.000 0.000
0.000 3.584 0.000
0.000 0.000 5.037
Fe S O F
1 1 2 1
Direct
0.000 0.000 0.000
0.500 0.500 0.500
0.000 0.500 0.500
0.500 0.000 0.500
0.500 0.500 0.000
```

Calculated values
electronic total energy: -22.872 eV per cell
magnetization: 4.19 μB per formula unit